# NaCrO2, optimized geometry, DFT PBE+U
data_NaCrO2
_symmetry_space_group_name_H-M 'C 1 2/c 1'
_symmetry_Int_Tables_number 15
_cell_length_a 6.245
_cell_length_b 12.075
_cell_length_c 5.320
_cell_angle_alpha 90.00
_cell_angle_beta 122.99
_cell_angle_gamma 90.00
loop_
_symmetry_equiv_pos_as_xyz
'x,y,z'
'-x,-y,-z'
'-x,y,-z+1/2'
'x,-y,z+1/2'
'x+1/2,y+1/2,z'
'-x+1/2,-y+1/2,-z'
'-x+1/2,y+1/2,-z+1/2'
'x+1/2,-y+1/2,z+1/2'
loop_
_atom_site_label
_atom_site_type_symbol
_atom_site_fract_x
_atom_site_fract_y
_atom_site_fract_z
Na1 Na 0.000 0.056 0.250
Na2 Na 0.000 0.180 0.750
Cr1 Cr 0.000 0.309 0.250
Cr2 Cr 0.000 0.435 0.750
O1 O 0.192 0.437 0.207
O2 O 0.225 0.313 0.704
# E_tot (eV/atom): -6.51
# ρ (g/cm³): 4.22